[1]
# SrTa2SnPb PBE-GGA relaxed
data_SrTa2SnPb
_chemical_formula_sum 'Sr1 Ta2 Sn1 Pb1'
_symmetry_space_group_name_H-M 'P 4/m m m'
_symmetry_Int_Tables_number 123
_symmetry_space_group_name_Hall '-P 4 2'
_cell_length_a 5.126
_cell_length_b 5.126
_cell_length_c 5.728
_cell_angle_alpha 90.00
_cell_angle_beta 90.00
_cell_angle_gamma 90.00
loop_
_atom_site_label
_atom_site_fract_x
_atom_site_fract_y
_atom_site_fract_z
Sr1 0.000 0.000 0.000
Ta1 0.000 0.500 0.000
Sn1 0.000 0.000 0.500
Pb1 0.500 0.500 0.500
# DOS(E_F): 5.518 states/eV/cell
# energy of formation: 2.30 eV/atom
# M_tot: 0.000 μB per atom

=====

[2]
# SrTbSnPb PBE-GGA relaxed
data_SrTbSnPb
_chemical_formula_sum 'Sr4 Tb4 Sn4 Pb4'
_symmetry_space_group_name_H-M 'F -4 3 m'
_symmetry_Int_Tables_number 216
_symmetry_space_group_name_Hall 'F -4 2 3'
_cell_length_a 7.896
_cell_length_b 7.896
_cell_length_c 7.896
_cell_angle_alpha 90.00
_cell_angle_beta 90.00
_cell_angle_gamma 90.00
loop_
_atom_site_label
_atom_site_fract_x
_atom_site_fract_y
_atom_site_fract_z
Sr1 0.000 0.000 0.000
Tb1 0.000 0.000 0.500
Sn1 0.250 0.250 0.750
Pb1 0.250 0.250 0.250
# DOS(E_F): 11.079 states/eV/cell
# energy of formation: -0.46 eV/atom
# M_tot: 0.000 μB per atom

=====

[3]
# Sr3Sn2Te6Pb PBE-GGA relaxed
data_Sr3Sn2Te6Pb
_chemical_formula_sum 'Sr6 Sn4 Te12 Pb2'
_symmetry_space_group_name_H-M 'C 1 2/m 1'
_symmetry_Int_Tables_number 12
_cell_length_a 20.419
_cell_length_b 4.664
_cell_length_c 9.376
_cell_angle_alpha 90.00
_cell_angle_beta 103.65
_cell_angle_gamma 90.00
loop_
_symmetry_equiv_pos_as_xyz
'x,y,z'
'-x,-y,-z'
'-x,y,-z'
'x,-y,z'
'x+1/2,y+1/2,z'
'-x+1/2,-y+1/2,-z'
'-x+1/2,y+1/2,-z'
'x+1/2,-y+1/2,z'
loop_
_atom_site_label
_atom_site_fract_x
_atom_site_fract_y
_atom_site_fract_z
Sr1 0.000 0.000 0.000
Sr2 0.166 0.500 0.334
Sn1 0.168 0.500 0.835
Te1 0.003 0.500 0.749
Te2 0.166 0.000 0.591
Te3 0.169 0.000 0.078
Pb1 0.000 0.000 0.500
# DOS(E_F): 0.000 states/eV/cell
# formation energy from raw total energies: -998 meV/atom
# M_tot: 0.000 μB per atom

=====

[4]
# SrSn2Te6Pb3 PBE-GGA relaxed
data_SrSn2Te6Pb3
_chemical_formula_sum 'Sr2 Sn4 Te12 Pb6'
_symmetry_space_group_name_H-M 'C 1 2/m 1'
_symmetry_Int_Tables_number 12
_cell_length_a 20.154
_cell_length_b 4.626
_cell_length_c 9.245
_cell_angle_alpha 90.00
_cell_angle_beta 103.13
_cell_angle_gamma 90.00
loop_
_symmetry_equiv_pos_as_xyz
'x,y,z'
'-x,-y,-z'
'-x,y,-z'
'x,-y,z'
'x+1/2,y+1/2,z'
'-x+1/2,-y+1/2,-z'
'-x+1/2,y+1/2,-z'
'x+1/2,-y+1/2,z'
loop_
_atom_site_label
_atom_site_fract_x
_atom_site_fract_y
_atom_site_fract_z
Sr1 0.000 0.000 0.000
Sn1 0.168 0.500 0.335
Te1 0.003 0.500 0.255
Te2 0.169 0.000 0.091
Te3 0.169 0.000 0.579
Pb1 0.000 0.000 0.500
Pb2 0.165 0.500 0.832
# formation energy from raw total energies: -577 meV/atom
# M_tot: 0.000 μB per atom

=====

[5]
# SrSn3Te6Pb2 PBE-GGA relaxed
data_SrSn3Te6Pb2
_chemical_formula_sum 'Sr2 Sn6 Te12 Pb4'
_symmetry_space_group_name_H-M 'C 1 2/m 1'
_symmetry_Int_Tables_number 12
_cell_length_a 20.106
_cell_length_b 4.606
_cell_length_c 9.217
_cell_angle_alpha 90.00
_cell_angle_beta 103.41
_cell_angle_gamma 90.00
loop_
_symmetry_equiv_pos_as_xyz
'x,y,z'
'-x,-y,-z'
'-x,y,-z'
'x,-y,z'
'x+1/2,y+1/2,z'
'-x+1/2,-y+1/2,-z'
'-x+1/2,y+1/2,-z'
'x+1/2,-y+1/2,z'
loop_
_atom_site_label
_atom_site_fract_x
_atom_site_fract_y
_atom_site_fract_z
Sr1 0.000 0.000 0.000
Sn1 0.000 0.000 0.500
Sn2 0.166 0.500 0.832
Te1 0.002 0.500 0.743
Te2 0.166 0.000 0.588
Te3 0.170 0.000 0.079
Pb1 0.167 0.500 0.333
# formation energy from raw total energies: -552 meV/atom
# M_tot: 0.000 μB per atom

=====

[6]
# Sr4SnTe8Pb3 PBE-GGA relaxed
data_Sr4SnTe8Pb3
_chemical_formula_sum 'Sr12 Sn3 Te24 Pb9'
_symmetry_space_group_name_H-M 'R -3 m'
_symmetry_Int_Tables_number 166
_symmetry_space_group_name_Hall '-R 3 2"'
_cell_length_a 9.3744
_cell_length_b 9.3744
_cell_length_c 23.0683
_cell_angle_alpha 90.00
_cell_angle_beta 90.00
_cell_angle_gamma 120.00
loop_
_atom_site_label
_atom_site_fract_x
_atom_site_fract_y
_atom_site_fract_z
Sr1 0.0000 0.0000 0.0000
Sr2 0.0000 0.5000 0.0000
Sn1 0.0000 0.0000 0.5000
Te1 0.0000 0.0000 0.2485
Te2 0.0032 0.5016 0.2479
Pb1 0.0000 0.5000 0.5000
# DOS(E_F): 0.000 states/eV/cell
# formation energy from raw total energies: -1034 meV/atom
# M_tot: 0.000 μB per atom

=====

[7]
# SrTl2SnPb2 PBE-GGA relaxed
data_SrTl2SnPb2
_chemical_formula_sum 'Sr2 Tl4 Sn2 Pb4'
_symmetry_space_group_name_H-M 'P m c 21'
_symmetry_Int_Tables_number 26
_cell_length_a 4.985
_cell_length_b 10.069
_cell_length_c 7.983
_cell_angle_alpha 90.00
_cell_angle_beta 90.00
_cell_angle_gamma 90.00
loop_
_symmetry_equiv_pos_as_xyz
'x,y,z'
'-x,-y,z+1/2'
'-x,y,z'
'x,-y,z+1/2'
loop_
_atom_site_label
_atom_site_fract_x
_atom_site_fract_y
_atom_site_fract_z
Sr1 0.000 0.056 0.000
Tl1 0.000 0.337 0.350
Tl2 0.500 0.428 0.044
Sn1 0.500 0.165 0.677
Pb1 0.000 0.344 0.758
Pb2 0.500 0.136 0.287
# DOS(E_F): 4.587 states/eV/cell
# energy of formation: -0.17 eV/atom
# M_tot: 0.000 μB per atom

=====

[8]
# Sr2Zn4Sn3Pb PBE-GGA relaxed
data_Sr2Zn4Sn3Pb
_chemical_formula_sum 'Sr2 Zn4 Sn3 Pb1'
_symmetry_space_group_name_H-M 'P -4 m 2'
_symmetry_Int_Tables_number 115
_cell_length_a 4.747
_cell_length_b 4.747
_cell_length_c 11.390
_cell_angle_alpha 90.00
_cell_angle_beta 90.00
_cell_angle_gamma 90.00
loop_
_symmetry_equiv_pos_as_xyz
'x,y,z'
'y,-x,-z'
'-x,-y,z'
'-y,x,-z'
'-x,y,z'
'-y,-x,-z'
'x,-y,z'
'y,x,-z'
loop_
_atom_site_label
_atom_site_fract_x
_atom_site_fract_y
_atom_site_fract_z
Sr1 0.000 0.500 0.237
Zn1 0.000 0.000 0.000
Zn2 0.000 0.500 0.641
Zn3 0.500 0.500 0.000
Sn1 0.000 0.500 0.873
Sn2 0.500 0.500 0.500
Pb1 0.000 0.000 0.500
# DOS(E_F): 2.116 states/eV/cell
# energy of formation: -0.33 eV/atom
# M_tot: 0.000 μB per atom